No. 1
A geometry-optimized KFeSe structure. Source: Alexandria, functional PBEsol.

Summary:
Distance to the lowest polymorph of the same formula in eV/atom: 0.0000
Mass density in g cm⁻³: 4.25
V in Å³ per cell: 136
Uncorrected formation energy in meV per atom: 21.5
VASP energy in eV for the cell shown: -27.77
Magnetic moment in μB/f.u.: 2.4

Cell and atoms, written as CIF:
```
data_KFeSe
_cell_length_a 3.417
_cell_length_b 3.417
_cell_length_c 11.623
_cell_angle_alpha 90.00
_cell_angle_beta 90.00
_cell_angle_gamma 90.00
_space_group_name_H-M_alt 'I 4 m m'
_space_group_IT_number 107
_space_group_name_Hall 'I 4 -2'
loop_
_atom_site_label
_atom_site_type_symbol
_atom_site_fract_x
_atom_site_fract_y
_atom_site_fract_z
K1 K 0.000 0.000 0.000
Fe1 Fe 0.000 0.000 0.269
Se1 Se 0.000 0.000 0.725
```

---

No. 2
A geometry-optimized Mg7Sc6 structure. Source: Alexandria, functional PBEsol.

Summary:
Mass density in g cm⁻³: 2.44
V in Å³ per cell: 900
VASP energy in eV for the cell shown: -152.84
DFT formation energy in eV/atom: 0.0540
Magnetic moment in μB/f.u.: 0.0

Cell and atoms, written as CIF:
```
data_Mg7Sc6
_cell_length_a 5.7507
_cell_length_b 5.7507
_cell_length_c 31.4118
_cell_angle_alpha 90.00
_cell_angle_beta 90.00
_cell_angle_gamma 120.00
_space_group_name_H-M_alt 'R -3 m'
_space_group_IT_number 166
_space_group_name_Hall '-R 3 2"'
loop_
_atom_site_label
_atom_site_type_symbol
_atom_site_fract_x
_atom_site_fract_y
_atom_site_fract_z
Mg1 Mg 0.0000 0.0000 0.0000
Mg2 Mg 0.0044 0.5022 0.4100
Sc1 Sc 0.0000 0.0000 0.1657
Sc2 Sc 0.0000 0.0000 0.3491
Sc3 Sc 0.0000 0.0000 0.4545
```

---

No. 3
A geometry-optimized NaSr3TaO6 structure. Source: Alexandria, functional PBEsol.

Summary:
Mass density in g cm⁻³: 5.90
V in Å³ per cell: 950
Uncorrected formation energy in meV per atom: -2823.6
VASP energy in eV for the cell shown: -492.16
Magnetic moment in μB/f.u.: 0.0

Cell and atoms, written as CIF:
```
data_NaSr3TaO6
_cell_length_a 9.7394
_cell_length_b 9.7394
_cell_length_c 11.5704
_cell_angle_alpha 90.00
_cell_angle_beta 90.00
_cell_angle_gamma 120.00
_space_group_name_H-M_alt 'R -3 c'
_space_group_IT_number 167
_space_group_name_Hall '-R 3 2"c'
loop_
_atom_site_label
_atom_site_type_symbol
_atom_site_fract_x
_atom_site_fract_y
_atom_site_fract_z
Na1 Na 0.0000 0.0000 0.2500
Sr1 Sr 0.0000 0.3513 0.2500
Ta1 Ta 0.0000 0.0000 0.0000
O1 O 0.0259 0.1802 0.4005
```

---

No. 4
A geometry-optimized TaRe2Se structure. Source: Alexandria, functional PBEsol.

Summary:
Mass density in g cm⁻³: 16.75
V in Å³ per cell: 125
Uncorrected formation energy in meV per atom: 190.4
VASP energy in eV for the cell shown: -84.61
Magnetic moment in μB/f.u.: 0.0

Cell and atoms, written as CIF:
```
data_TaRe2Se
_cell_length_a 9.370
_cell_length_b 3.021
_cell_length_c 4.606
_cell_angle_alpha 90.00
_cell_angle_beta 105.97
_cell_angle_gamma 90.00
_space_group_name_H-M_alt 'C 1 m 1'
_space_group_IT_number 8
_space_group_name_Hall 'C -2y'
loop_
_atom_site_label
_atom_site_type_symbol
_atom_site_fract_x
_atom_site_fract_y
_atom_site_fract_z
Ta1 Ta 0.000 0.000 0.000
Re1 Re 0.000 0.500 0.498
Re2 Re 0.267 0.500 0.380
Se1 Se 0.248 0.000 0.821
```

---

No. 5
A geometry-optimized GdSi2 structure. Source: Alexandria, functional PBEsol.

Summary:
Mass density in g cm⁻³: 6.35
V in Å³ per cell: 56
Uncorrected formation energy in meV per atom: -658.5
VASP energy in eV for the cell shown: -27.92
Magnetic moment in μB/f.u.: 6.7

Cell and atoms, written as CIF:
```
data_GdSi2
_cell_length_a 4.0520
_cell_length_b 4.0520
_cell_length_c 3.9275
_cell_angle_alpha 90.00
_cell_angle_beta 90.00
_cell_angle_gamma 120.00
_space_group_name_H-M_alt 'P 6/m m m'
_space_group_IT_number 191
_space_group_name_Hall '-P 6 2'
loop_
_atom_site_label
_atom_site_type_symbol
_atom_site_fract_x
_atom_site_fract_y
_atom_site_fract_z
Gd1 Gd 0.0000 0.0000 0.0000
Si1 Si 0.3333 0.6667 0.5000
```

---

No. 6
A geometry-optimized ScHS2 structure. Source: Alexandria, functional PBEsol.

Summary:
Distance to the lowest polymorph of the same formula in eV/atom: 0.7873
Mass density in g cm⁻³: 3.16
V in Å³ per cell: 232
VASP energy in eV for the cell shown: -81.72
Magnetic moment in μB/f.u.: 0.6

Cell and atoms, written as CIF:
```
data_ScHS2
_cell_length_a 6.142
_cell_length_b 6.142
_cell_length_c 6.142
_cell_angle_alpha 90.00
_cell_angle_beta 90.00
_cell_angle_gamma 90.00
_space_group_name_H-M_alt 'F m -3 m'
_space_group_IT_number 225
_space_group_name_Hall '-F 4 2 3'
loop_
_atom_site_label
_atom_site_type_symbol
_atom_site_fract_x
_atom_site_fract_y
_atom_site_fract_z
Sc1 Sc 0.000 0.000 0.000
H1 H 0.000 0.000 0.500
S1 S 0.250 0.250 0.250
```

---

No. 7
A geometry-optimized FeCuSb4 structure. Source: Alexandria, functional PBEsol.

Summary:
Mass density in g cm⁻³: 6.65
V in Å³ per cell: 606
Uncorrected formation energy in meV per atom: 1024.8
VASP energy in eV for the cell shown: -101.51
Magnetic moment in μB/f.u.: 3.4

Cell and atoms, written as CIF:
```
data_FeCuSb4
_cell_length_a 8.461
_cell_length_b 8.461
_cell_length_c 8.461
_cell_angle_alpha 90.00
_cell_angle_beta 90.00
_cell_angle_gamma 90.00
_space_group_name_H-M_alt 'F -4 3 m'
_space_group_IT_number 216
_space_group_name_Hall 'F -4 2 3'
loop_
_atom_site_label
_atom_site_type_symbol
_atom_site_fract_x
_atom_site_fract_y
_atom_site_fract_z
Fe1 Fe 0.000 0.000 0.000
Cu1 Cu 0.250 0.250 0.250
Sb1 Sb 0.125 0.125 0.625
```

---

No. 8
A geometry-optimized CaLaPt2 structure. Source: Alexandria, functional PBEsol.

Summary:
Mass density in g cm⁻³: 11.79
V in Å³ per cell: 321
VASP energy in eV for the cell shown: -95.43
DFT formation energy in eV/atom: -0.6128
Magnetic moment in μB/f.u.: 0.0

Cell and atoms, written as CIF:
```
data_CaLaPt2
_cell_length_a 6.844
_cell_length_b 6.844
_cell_length_c 6.844
_cell_angle_alpha 90.00
_cell_angle_beta 90.00
_cell_angle_gamma 90.00
_space_group_name_H-M_alt 'F -4 3 m'
_space_group_IT_number 216
_space_group_name_Hall 'F -4 2 3'
loop_
_atom_site_label
_atom_site_type_symbol
_atom_site_fract_x
_atom_site_fract_y
_atom_site_fract_z
Ca1 Ca 0.000 0.000 0.000
La1 La 0.250 0.250 0.750
Pt1 Pt 0.000 0.000 0.500
Pt2 Pt 0.250 0.250 0.250
```

---

No. 9
A geometry-optimized BaSrSe2 structure. Source: Alexandria, functional PBEsol.

Summary:
Distance to the lowest polymorph of the same formula in eV/atom: 0.0631
Mass density in g cm⁻³: 4.88
V in Å³ per cell: 391
Uncorrected formation energy in meV per atom: -1978.0
VASP energy in eV for the cell shown: -58.80
Magnetic moment in μB/f.u.: 0.0

Cell and atoms, written as CIF:
```
data_BaSrSe2
_cell_length_a 4.4227
_cell_length_b 4.4227
_cell_length_c 23.0826
_cell_angle_alpha 90.00
_cell_angle_beta 90.00
_cell_angle_gamma 120.00
_space_group_name_H-M_alt 'R 3 m'
_space_group_IT_number 160
_space_group_name_Hall 'R 3 -2"'
loop_
_atom_site_label
_atom_site_type_symbol
_atom_site_fract_x
_atom_site_fract_y
_atom_site_fract_z
Ba1 Ba 0.0000 0.0000 0.0000
Sr1 Sr 0.0000 0.0000 0.1692
Se1 Se 0.0000 0.0000 0.5797
Se2 Se 0.0000 0.0000 0.7566
```

---

No. 10
A geometry-optimized MgCo2Si structure. Source: Alexandria, functional PBEsol.

Summary:
Mass density in g cm⁻³: 6.05
V in Å³ per cell: 93
Uncorrected formation energy in meV per atom: -168.5
VASP energy in eV for the cell shown: -47.22
Magnetic moment in μB/f.u.: 1.0

Cell and atoms, written as CIF:
```
data_MgCo2Si
_cell_length_a 8.777
_cell_length_b 2.731
_cell_length_c 4.116
_cell_angle_alpha 90.00
_cell_angle_beta 108.60
_cell_angle_gamma 90.00
_space_group_name_H-M_alt 'C 1 m 1'
_space_group_IT_number 8
_space_group_name_Hall 'C -2y'
loop_
_atom_site_label
_atom_site_type_symbol
_atom_site_fract_x
_atom_site_fract_y
_atom_site_fract_z
Mg1 Mg 0.000 0.000 0.000
Co1 Co 0.255 0.500 0.157
Co2 Co 0.499 0.000 0.510
Si1 Si 0.228 0.000 0.629
```

---

No. 11
A geometry-optimized KBI3 structure. Source: Alexandria, functional PBEsol.

Summary:
Mass density in g cm⁻³: 4.87
V in Å³ per cell: 147
Uncorrected formation energy in meV per atom: -60.4
VASP energy in eV for the cell shown: -13.75
Magnetic moment in μB/f.u.: 0.0

Cell and atoms, written as CIF:
```
data_KBI3
_cell_length_a 5.277
_cell_length_b 5.277
_cell_length_c 5.277
_cell_angle_alpha 90.00
_cell_angle_beta 90.00
_cell_angle_gamma 90.00
_space_group_name_H-M_alt 'P m -3 m'
_space_group_IT_number 221
_space_group_name_Hall '-P 4 2 3'
loop_
_atom_site_label
_atom_site_type_symbol
_atom_site_fract_x
_atom_site_fract_y
_atom_site_fract_z
K1 K 0.000 0.000 0.000
B1 B 0.500 0.500 0.500
I1 I 0.000 0.500 0.500
```

---

magnetic moment of number 11 (KBI3)?
0.0 μB/f.u.